# 1
SrBi2Ru: optimized geometry, PBE-GGA.

Its crystal system is cubic. The energy above the most stable polymorph in this dataset is 0.122 eV/atom. For the calculated formation energy, the calculation gives 0.228 eV per formula unit.

It has space group Fm-3m (No. 225), with a = 7.3747 Å, b = 7.3747 Å, c = 7.3747 Å, α = 90.00°, β = 90.00° and γ = 90.00°. The distinct sites, in fractional coordinates, are Sr at (0.0000, 0.0000, 0.0000), Bi at (0.2500, 0.2500, 0.2500) and Ru at (0.0000, 0.0000, 0.5000).

---

# 2
SrBi2Ru: optimized geometry, PBE-GGA.

Its crystal system is tetragonal. The energy above the most stable polymorph in this dataset is 0.000 eV/atom. For the calculated formation energy, the calculation gives -0.259 eV per formula unit.

It has space group I-42d (No. 122), with a = 8.4515 Å, b = 8.4515 Å, c = 6.5711 Å, α = 90.00°, β = 90.00° and γ = 90.00°. The distinct sites, in fractional coordinates, are Sr at (0.0000, 0.0000, 0.0000), Bi at (0.1759, 0.2500, 0.6250) and Ru at (0.0000, 0.0000, 0.5000).

---

# 3
SrBiRu3: optimized geometry, PBE-GGA.

Its crystal system is cubic. The energy above the most stable polymorph in this dataset is 0.000 eV/atom. For the calculated formation energy, the calculation gives 6.347 eV per formula unit.

It has space group Pm-3m (No. 221), with a = 5.0586 Å, b = 5.0586 Å, c = 5.0586 Å, α = 90.00°, β = 90.00° and γ = 90.00°. The distinct sites, in fractional coordinates, are Sr at (0.0000, 0.0000, 0.0000), Bi at (0.5000, 0.5000, 0.5000) and Ru at (0.0000, 0.5000, 0.5000).

---

# 4
SrBi3Ru: optimized geometry, PBE-GGA.

Its crystal system is cubic. For the calculated formation energy, the calculation gives 0.285 eV per formula unit.

It has space group Pm-3m (No. 221), with a = 5.4172 Å, b = 5.4172 Å, c = 5.4172 Å, α = 90.00°, β = 90.00° and γ = 90.00°. The distinct sites, in fractional coordinates, are Sr at (0.0000, 0.0000, 0.0000), Bi at (0.0000, 0.5000, 0.5000) and Ru at (0.5000, 0.5000, 0.5000).

---

# 5
SrBi2Ru2: optimized geometry, PBE-GGA.

Its crystal system is tetragonal. For the calculated formation energy, the calculation gives 0.205 eV per formula unit.

It has space group I4/mmm (No. 139), with a = 4.8995 Å, b = 4.8995 Å, c = 10.3095 Å, α = 90.00°, β = 90.00° and γ = 90.00°. The distinct sites, in fractional coordinates, are Sr at (0.0000, 0.0000, 0.0000), Bi at (0.0000, 0.5000, 0.2500) and Ru at (0.0000, 0.0000, 0.3869).

---

# 6
SrBi2Ru2: optimized geometry, PBE-GGA.

Its crystal system is tetragonal. For the calculated formation energy, the calculation gives 0.985 eV per formula unit.

It has space group P4/mbm (No. 127), with a = 8.1526 Å, b = 8.1526 Å, c = 3.3843 Å, α = 90.00°, β = 90.00° and γ = 90.00°. The distinct sites, in fractional coordinates, are Sr at (0.0000, 0.0000, 0.0000), Bi at (0.1567, 0.3433, 0.5000) and Ru at (0.1297, 0.6297, 0.0000).

---

# 7
SrBiTeRu2: optimized geometry, PBE-GGA.

Its crystal system is tetragonal. The formation energy (no corrections) comes out at 3.55 eV/f.u.

It has space group P4/mmm (No. 123), with a = 4.9225 Å, b = 4.9225 Å, c = 5.8864 Å, α = 90.00°, β = 90.00° and γ = 90.00°. The distinct sites, in fractional coordinates, are Sr at (0.0000, 0.0000, 0.0000), Bi at (0.5000, 0.5000, 0.0000), Te at (0.5000, 0.5000, 0.5000) and Ru at (0.0000, 0.5000, 0.5000).

---

# 8
SrY2BiRu: optimized geometry, PBE-GGA.

Its crystal system is tetragonal. For the calculated formation energy, the calculation gives 5.889 eV per formula unit.

It has space group P4/mmm (No. 123), with a = 5.7496 Å, b = 5.7496 Å, c = 4.7502 Å, α = 90.00°, β = 90.00° and γ = 90.00°. The distinct sites, in fractional coordinates, are Sr at (0.0000, 0.0000, 0.0000), Y at (0.0000, 0.5000, 0.0000), Bi at (0.5000, 0.5000, 0.5000) and Ru at (0.0000, 0.0000, 0.5000).

---

# 9
Sr2ZnBiRu: optimized geometry, PBE-GGA.

Its crystal system is tetragonal. For the calculated formation energy, the calculation gives 0.589 eV per formula unit.

It has space group P4/mmm (No. 123), with a = 5.6447 Å, b = 5.6447 Å, c = 4.8595 Å, α = 90.00°, β = 90.00° and γ = 90.00°. The distinct sites, in fractional coordinates, are Sr at (0.0000, 0.5000, 0.0000), Zn at (0.0000, 0.0000, 0.5000), Bi at (0.5000, 0.5000, 0.5000) and Ru at (0.0000, 0.0000, 0.0000).

---

# 10
Ta3BiRu: optimized geometry, PBE-GGA.

Its crystal system is cubic. The energy above the most stable polymorph in this dataset is 0.000 eV/atom. For the calculated formation energy, the calculation gives 4.661 eV per formula unit.

It has space group Pm-3m (No. 221), with a = 4.8624 Å, b = 4.8624 Å, c = 4.8624 Å, α = 90.00°, β = 90.00° and γ = 90.00°. The distinct sites, in fractional coordinates, are Ta at (0.0000, 0.0000, 0.5000), Bi at (0.5000, 0.5000, 0.5000) and Ru at (0.0000, 0.0000, 0.0000).

---

# 11
Ta2ZnBiRu: optimized geometry, PBE-GGA.

Its crystal system is tetragonal. For the calculated formation energy, the calculation gives 3.778 eV per formula unit.

It has space group P4/mmm (No. 123), with a = 4.8349 Å, b = 4.8349 Å, c = 4.8149 Å, α = 90.00°, β = 90.00° and γ = 90.00°. The distinct sites, in fractional coordinates, are Ta at (0.0000, 0.5000, 0.0000), Zn at (0.0000, 0.0000, 0.5000), Bi at (0.5000, 0.5000, 0.5000) and Ru at (0.0000, 0.0000, 0.0000).

---

# 12
Tb4Bi2Ru: optimized geometry, PBE-GGA.

Its crystal system is orthorhombic. For the calculated formation energy, the calculation gives -4.129 eV per formula unit.

It has space group Pbam (No. 55), with a = 8.0118 Å, b = 12.2517 Å, c = 4.3855 Å, α = 90.00°, β = 90.00° and γ = 90.00°. The distinct sites, in fractional coordinates, are Tb at (0.1276, 0.1948, 0.0000), Tb at (0.2107, 0.9423, 0.5000), Bi at (0.0814, 0.6725, 0.5000) and Ru at (0.0000, 0.0000, 0.0000).